# 1
A plane-wave DFT calculation with PBE was carried out for a geometry-optimized BeFe2CoC structure. Values from VASP.

Properties
ρ	6.4	g/cm3
formation energy	0.0610	eV/atom

Structure (Quantum ESPRESSO input):
```
&SYSTEM
  ibrav = 0, nat = 5, ntyp = 4
/
ATOMIC_SPECIES
Be 9.01 Be.upf
C 12.01 C.upf
Co 58.93 Co.upf
Fe 55.84 Fe.upf
ATOMIC_POSITIONS crystal
Be 0.5000 0.5000 0.5000
C 0.0000 0.0000 0.0000
Co 0.0000 0.0000 0.5000
Fe 0.0000 0.5000 0.0000
Fe 0.5000 0.0000 0.0000
CELL_PARAMETERS angstrom
3.6832 0.0000 0.0000
0.0000 3.6832 0.0000
0.0000 0.0000 3.6889
```



# 2
A plane-wave DFT calculation with PBE was carried out for a geometry-optimized Pr4NdHo3 structure. Values from VASP.

Properties
relative energy among the computed polymorphs	0.000	eV per atom
ρ	7.3	g/cm3
formation energy	0.0169	eV/atom

Structure (Quantum ESPRESSO input):
```
&SYSTEM
  ibrav = 0, nat = 16, ntyp = 3
/
ATOMIC_SPECIES
Pr 140.91 Pr.upf
Nd 144.24 Nd.upf
Ho 164.93 Ho.upf
ATOMIC_POSITIONS crystal
Pr 0.9999 0.8107 0.0000
Pr 0.5001 0.3104 0.0000
Pr 0.7518 0.0606 0.7498
Pr 0.2482 0.5606 0.7502
Pr 0.4999 0.8104 0.5000
Pr 0.0001 0.3107 0.5000
Pr 0.2482 0.5606 0.2498
Pr 0.7518 0.0606 0.2502
Nd 0.5000 0.8107 0.0000
Nd 0.5000 0.3107 0.5000
Ho 0.0000 0.3105 0.0000
Ho 0.2474 0.0606 0.7499
Ho 0.7526 0.5606 0.7501
Ho 0.0000 0.8105 0.5000
Ho 0.7526 0.5606 0.2499
Ho 0.2474 0.0606 0.2501
CELL_PARAMETERS angstrom
-3.6962 -3.8943 -4.8957
1.7219 -6.0949 3.5481
-8.5383 0.9163 5.7175
```



# 3
A plane-wave DFT calculation with PBE was carried out for a geometry-optimized Pr2Mg2Co15 structure. Values from VASP.

Properties
ρ	7.8	g/cm3
formation energy	-0.0116	eV/atom

Structure (Quantum ESPRESSO input):
```
&SYSTEM
  ibrav = 0, nat = 19, ntyp = 3
/
ATOMIC_SPECIES
Pr 140.91 Pr.upf
Mg 24.30 Mg.upf
Co 58.93 Co.upf
ATOMIC_POSITIONS crystal
Pr 0.3517 0.3517 0.3517
Pr 0.6483 0.6483 0.6483
Mg 0.1049 0.1049 0.1049
Mg 0.8951 0.8951 0.8951
Co 0.5000 0.0000 0.0000
Co 0.0000 0.0000 0.5000
Co 0.0000 0.5000 0.0000
Co 0.0000 0.7117 0.2883
Co 0.7117 0.2883 0.0000
Co 0.2883 0.0000 0.7117
Co 0.2883 0.7117 0.0000
Co 0.7117 0.0000 0.2883
Co 0.0000 0.2883 0.7117
Co 0.1541 0.6516 0.6516
Co 0.6516 0.6516 0.1541
Co 0.6516 0.1541 0.6516
Co 0.8459 0.3484 0.3484
Co 0.3484 0.3484 0.8459
Co 0.3484 0.8459 0.3484
CELL_PARAMETERS angstrom
-1.9087 -2.7426 -5.4682
5.1318 -3.7623 -0.7587
-2.5413 -5.2453 2.6635
```



# 4
A plane-wave DFT calculation with PBE was carried out for a geometry-optimized CsPd3Au structure. Values from VASP.

Properties
relative energy among the computed polymorphs	0.000	eV per atom
ρ	7.8	g/cm3
formation energy	0.4918	eV/atom

Structure (Quantum ESPRESSO input):
```
&SYSTEM
  ibrav = 0, nat = 5, ntyp = 3
/
ATOMIC_SPECIES
Cs 132.91 Cs.upf
Au 196.97 Au.upf
Pd 106.42 Pd.upf
ATOMIC_POSITIONS crystal
Cs 0.5000 0.5000 0.5000
Au 0.0000 0.0000 0.0000
Pd 0.0000 0.5000 0.0000
Pd 0.0000 0.0000 0.5000
Pd 0.5000 0.0000 0.0000
CELL_PARAMETERS angstrom
5.1659 0.0000 0.0000
0.0000 5.1659 0.0000
0.0000 0.0000 5.1659
```



# 5
A plane-wave DFT calculation with PBE was carried out for a geometry-optimized Pm2Ge2Ru structure. Values from VASP.

Properties
ρ	8.0	g/cm3
formation energy	-0.7548	eV/atom

Structure (Quantum ESPRESSO input):
```
&SYSTEM
  ibrav = 0, nat = 10, ntyp = 3
/
ATOMIC_SPECIES
Pm 145.00 Pm.upf
Ge 72.64 Ge.upf
Ru 101.07 Ru.upf
ATOMIC_POSITIONS crystal
Pm 0.6711 0.3320 0.3257
Pm 0.9257 0.2591 0.8895
Pm 0.3289 0.6680 0.6743
Pm 0.0743 0.7409 0.1105
Ge 0.0850 0.2636 0.5663
Ge 0.6324 0.8620 0.8731
Ge 0.9150 0.7364 0.4337
Ge 0.3676 0.1380 0.1269
Ru 0.6498 0.0761 0.6244
Ru 0.3502 0.9239 0.3756
CELL_PARAMETERS angstrom
-3.1619 0.1260 -2.9786
0.4952 -4.5141 -3.8867
-7.0117 -4.8350 4.0685
```



# 6
A plane-wave DFT calculation with PBE was carried out for a geometry-optimized Sm2Si3Ni12Rh structure. Values from VASP.

Properties
total energy	-103.226	eV for the cell shown
ρ	8.0	g/cm3

Structure (Quantum ESPRESSO input):
```
&SYSTEM
  ibrav = 0, nat = 18, ntyp = 4
/
ATOMIC_SPECIES
Sm 150.36 Sm.upf
Si 28.09 Si.upf
Ni 58.69 Ni.upf
Rh 102.91 Rh.upf
ATOMIC_POSITIONS crystal
Sm 0.6690 0.6690 0.6690
Sm 0.3310 0.3310 0.3310
Si 0.5000 0.0000 0.0000
Si 0.0000 0.5000 0.0000
Si 0.0000 0.0000 0.5000
Ni 0.3877 0.3877 0.8975
Ni 0.8094 0.8094 0.3001
Ni 0.3001 0.8094 0.8094
Ni 0.8975 0.3877 0.3877
Ni 0.8094 0.3001 0.8094
Ni 0.3877 0.8975 0.3877
Ni 0.6123 0.6123 0.1025
Ni 0.1906 0.1906 0.6998
Ni 0.6998 0.1906 0.1906
Ni 0.1025 0.6123 0.6123
Ni 0.1906 0.6998 0.1906
Ni 0.6123 0.1025 0.6123
Rh 0.0000 0.0000 0.0000
CELL_PARAMETERS angstrom
-1.8111 6.0102 0.5223
-4.2493 -1.1303 4.5101
3.9247 1.3120 4.7488
```



> Which value of ρ does entry 3 give?

7.8 g/cm3